Entry i
A plane-wave DFT calculation with GGA-PBE was carried out for a geometry-optimized GdSnSO structure. Values from VASP.

The structure in Quantum ESPRESSO input format:
```
&SYSTEM
  ibrav = 0, nat = 32, ntyp = 4
/
ATOMIC_SPECIES
Gd 157.25 Gd.upf
O 16.00 O.upf
S 32.06 S.upf
Sn 118.71 Sn.upf
ATOMIC_POSITIONS angstrom
Gd 3.194 2.323 13.914
Gd 5.832 3.785 5.235
Gd 0.186 2.323 12.122
Gd 2.823 5.378 12.122
Gd 2.823 3.785 3.443
Gd 3.194 0.731 5.235
Gd 5.832 5.378 13.914
Gd 0.186 0.731 3.443
O 4.503 0.845 12.761
O 1.494 0.845 13.275
O 4.523 5.263 4.082
O 1.494 2.209 4.596
O 1.514 3.899 13.275
O 4.503 2.209 4.082
O 4.523 3.899 12.761
O 1.514 5.263 4.596
S 2.395 2.969 10.490
S 5.403 2.969 15.546
S 3.623 6.023 15.546
S 0.614 3.139 1.811
S 2.395 0.085 1.811
S 3.623 3.139 6.867
S 5.403 0.085 6.867
S 0.614 6.023 10.490
Sn 1.702 5.430 8.226
Sn 1.702 3.733 16.905
Sn 4.315 0.678 9.131
Sn 1.307 2.376 8.226
Sn 1.307 0.678 16.905
Sn 4.711 3.733 9.131
Sn 4.711 5.430 0.453
Sn 4.315 2.376 0.453
CELL_PARAMETERS angstrom
6.017 0.000 0.000
0.000 6.109 0.000
0.000 0.000 17.357
```

Results
SG = Pbca, No. 61

Entry ii
A plane-wave DFT calculation with GGA-PBE was carried out for a geometry-optimized GdSnSO structure. Values from VASP.

The structure in Quantum ESPRESSO input format:
```
&SYSTEM
  ibrav = 0, nat = 32, ntyp = 4
/
ATOMIC_SPECIES
Gd 157.25 Gd.upf
Sn 118.71 Sn.upf
S 32.06 S.upf
O 16.00 O.upf
ATOMIC_POSITIONS angstrom
Gd -4.705 5.452 4.771
Gd 0.139 0.967 5.761
Gd 1.814 5.259 13.950
Gd -3.190 2.995 6.784
Gd 5.143 3.232 12.926
Gd 0.299 7.716 11.937
Gd -1.376 3.424 3.748
Gd 3.628 5.689 10.913
Sn -1.161 0.702 0.758
Sn 4.570 7.307 15.739
Sn -4.133 1.377 1.959
Sn 1.423 5.409 7.623
Sn 1.986 2.600 8.874
Sn -1.548 6.084 8.824
Sn 1.599 7.982 16.940
Sn -0.985 3.275 10.075
S -2.570 1.194 8.879
S 3.675 3.703 15.409
S -3.237 4.980 2.288
S 5.914 5.796 13.845
S -0.331 3.287 7.314
S 3.008 7.490 8.819
S 0.769 5.397 10.383
S -5.476 2.887 3.853
O -2.055 1.730 5.268
O 0.395 3.490 13.741
O 0.609 2.216 3.915
O -2.621 4.707 5.310
O 0.043 5.193 3.957
O 3.059 3.976 12.388
O -0.171 6.468 13.783
O 2.493 6.954 12.429
CELL_PARAMETERS angstrom
-1.519 5.743 -0.754
-5.308 -1.047 2.717
7.265 3.988 15.735
```

Results
SG = Pbca, No. 61

Entry iii
A plane-wave DFT calculation with GGA-PBE was carried out for a geometry-optimized GdSnSO structure. Values from VASP.

The structure in Quantum ESPRESSO input format:
```
&SYSTEM
  ibrav = 0, nat = 32, ntyp = 4
/
ATOMIC_SPECIES
Gd 157.25 Gd.upf
S 32.06 S.upf
Sn 118.71 Sn.upf
O 16.00 O.upf
ATOMIC_POSITIONS angstrom
Gd 5.688 2.345 4.946
Gd 10.105 -5.114 4.483
Gd 4.813 -1.142 4.914
Gd 3.651 -3.114 1.457
Gd 9.230 -8.601 4.451
Gd 11.267 -3.142 7.939
Gd 4.526 0.373 1.490
Gd 10.392 -6.629 7.907
S 8.713 -5.205 1.684
S 7.323 -6.014 4.799
S 14.021 -5.896 2.610
S 7.595 -0.242 4.597
S 6.204 -1.051 7.712
S 2.287 0.449 3.671
S 12.630 -6.705 5.725
S 0.896 -0.360 6.786
Sn 0.301 0.551 1.950
Sn 14.616 -6.807 7.447
Sn 6.790 -3.742 6.013
Sn 8.646 -1.243 6.754
Sn 14.098 -8.078 4.077
Sn 6.271 -5.013 2.643
Sn 8.128 -2.514 3.384
Sn 0.820 1.822 5.320
O 11.787 -4.094 3.535
O 4.387 -1.499 2.729
O 5.811 1.471 2.872
O 10.530 -4.757 6.668
O 3.131 -2.162 5.862
O 10.363 -7.064 3.392
O 4.555 0.808 6.005
O 9.106 -7.727 6.525
CELL_PARAMETERS angstrom
-1.098 0.216 6.455
11.772 -11.095 2.374
4.243 4.624 0.568
```

Results
SG = Pbca, No. 61

Which is most stable? The ranking, best first, is entry i, entry ii, entry iii.

Entry i
A plane-wave DFT calculation with GGA-PBE was carried out for a geometry-optimized GdTlSeO structure. Values from VASP.

The structure in Quantum ESPRESSO input format:
```
&SYSTEM
  ibrav = 0, nat = 16, ntyp = 4
/
ATOMIC_SPECIES
O 16.00 O.upf
Tl 204.38 Tl.upf
Se 78.96 Se.upf
Gd 157.25 Gd.upf
ATOMIC_POSITIONS angstrom
O 0.327 -0.363 -3.001
O 0.604 -1.875 -5.262
O 0.709 0.402 -6.772
O 0.433 1.913 -4.511
Tl -4.292 -2.150 -3.827
Tl -4.463 1.642 -3.070
Tl -7.270 -0.592 -1.927
Tl -7.100 -4.376 -2.672
Se -8.680 -2.138 -4.527
Se -2.472 0.021 -5.210
Se -2.856 -0.746 -1.441
Se -9.064 -2.903 -0.754
Gd -10.790 -0.633 -2.527
Gd -0.739 -2.289 -3.497
Gd -0.908 1.501 -2.747
Gd -10.620 -4.423 -3.277
CELL_PARAMETERS angstrom
0.211 4.555 -3.021
0.553 -3.024 -4.521
-12.289 -4.472 1.489
```

Results
SG = C2, No. 5

Entry ii
A plane-wave DFT calculation with GGA-PBE was carried out for a geometry-optimized GdTlSeO structure. Values from VASP.

The structure in Quantum ESPRESSO input format:
```
&SYSTEM
  ibrav = 0, nat = 8, ntyp = 4
/
ATOMIC_SPECIES
Se 78.96 Se.upf
O 16.00 O.upf
Gd 157.25 Gd.upf
Tl 204.38 Tl.upf
ATOMIC_POSITIONS angstrom
Se 0.000 5.545 0.780
Se 0.000 2.552 4.086
O 2.318 7.434 4.778
O 2.318 0.663 1.472
Gd 2.318 7.024 0.249
Gd 2.318 1.074 3.555
Tl 0.000 2.354 0.747
Tl 0.000 5.744 4.053
CELL_PARAMETERS angstrom
4.636 0.000 0.000
0.000 8.097 0.000
0.000 0.000 6.612
```

Results
SG = Pmc2_1, No. 26

Which is most stable? The ranking, best first, is entry i, entry ii.

Entry i
A plane-wave DFT calculation with GGA-PBE was carried out for a geometry-optimized Sr2Gd2O5 structure. Values from VASP.

The structure in Quantum ESPRESSO input format:
```
&SYSTEM
  ibrav = 0, nat = 9, ntyp = 3
/
ATOMIC_SPECIES
Sr 87.62 Sr.upf
Gd 157.25 Gd.upf
O 16.00 O.upf
ATOMIC_POSITIONS angstrom
Sr 1.017 -3.448 0.621
Sr -0.931 -6.333 3.823
Gd -1.841 -2.726 3.026
Gd 0.000 0.000 0.000
O 0.043 -4.891 2.222
O 1.388 -1.397 1.492
O -1.230 -5.275 5.797
O -0.568 -2.341 -0.548
O -3.186 -6.220 3.757
CELL_PARAMETERS angstrom
-3.681 -5.453 6.053
-0.072 -3.108 -2.844
3.839 -1.220 1.236
```

Results
SG = P4/mmm, No. 123

Entry ii
A plane-wave DFT calculation with GGA-PBE was carried out for a geometry-optimized Sr2Gd2O5 structure. Values from VASP.

The structure in Quantum ESPRESSO input format:
```
&SYSTEM
  ibrav = 0, nat = 9, ntyp = 3
/
ATOMIC_SPECIES
O 16.00 O.upf
Gd 157.25 Gd.upf
Sr 87.62 Sr.upf
ATOMIC_POSITIONS angstrom
O 6.659 0.000 2.179
O 1.579 0.000 2.179
O 1.579 2.179 0.000
O 6.659 2.179 0.000
O 4.119 2.179 2.179
Gd 6.258 2.179 2.179
Gd 1.980 2.179 2.179
Sr 4.119 0.000 0.000
Sr 0.000 0.000 0.000
CELL_PARAMETERS angstrom
8.238 0.000 0.000
0.000 4.357 0.000
0.000 0.000 4.357
```

Results
SG = P4/mmm, No. 123

Which is most stable? The ranking, best first, is entry ii, entry i.

Entry i
A plane-wave DFT calculation with GGA-PBE was carried out for a geometry-optimized Gd2Ta2O5 structure. Values from VASP.

The structure in Quantum ESPRESSO input format:
```
&SYSTEM
  ibrav = 0, nat = 9, ntyp = 3
/
ATOMIC_SPECIES
Ta 180.95 Ta.upf
O 16.00 O.upf
Gd 157.25 Gd.upf
ATOMIC_POSITIONS angstrom
Ta 0.000 0.000 0.000
Ta -3.237 3.814 -0.460
O -4.188 3.272 1.742
O -6.990 5.697 -0.245
O -0.434 1.389 1.527
O -2.057 -0.117 0.456
O -5.368 7.202 0.827
Gd -5.705 5.059 1.527
Gd -2.671 1.485 1.958
CELL_PARAMETERS angstrom
-6.474 7.628 -0.919
-2.573 -2.048 1.131
0.671 0.964 3.273
```

Results
SG = P4/mmm, No. 123

Entry ii
A plane-wave DFT calculation with GGA-PBE was carried out for a geometry-optimized Gd2Ta2O5 structure. Values from VASP.

The structure in Quantum ESPRESSO input format:
```
&SYSTEM
  ibrav = 0, nat = 9, ntyp = 3
/
ATOMIC_SPECIES
O 16.00 O.upf
Ta 180.95 Ta.upf
Gd 157.25 Gd.upf
ATOMIC_POSITIONS angstrom
O 0.433 -3.848 2.384
O 0.545 -1.172 2.351
O -1.334 -3.418 4.350
O -1.994 -4.926 2.036
O -0.115 -2.680 0.037
Ta 1.576 -2.483 1.169
Ta -0.709 -5.214 3.600
Gd -1.883 -2.250 2.003
Gd 0.000 0.000 0.000
CELL_PARAMETERS angstrom
-3.765 -4.500 4.006
1.656 -3.106 -1.933
2.976 -0.091 2.695
```

Results
SG = P4/mmm, No. 123

Which is most stable? The ranking, best first, is entry ii, entry i.

Entry i
A plane-wave DFT calculation with GGA-PBE was carried out for a geometry-optimized Tb2Gd2O5 structure. Values from VASP.

The structure in Quantum ESPRESSO input format:
```
&SYSTEM
  ibrav = 0, nat = 9, ntyp = 3
/
ATOMIC_SPECIES
O 16.00 O.upf
Gd 157.25 Gd.upf
Tb 158.93 Tb.upf
ATOMIC_POSITIONS angstrom
O -2.770 4.759 -0.730
O -2.202 0.875 -0.331
O -1.693 7.703 -3.124
O -3.803 6.309 -4.207
O -0.093 2.269 0.752
Gd -1.125 3.820 -2.725
Gd 0.000 0.000 0.000
Tb -3.349 6.723 -2.132
Tb -2.191 2.794 0.671
CELL_PARAMETERS angstrom
-2.250 7.640 -5.450
-3.754 -0.455 0.912
0.464 2.333 3.078
```

Results
SG = P4/mmm, No. 123

Entry ii
A plane-wave DFT calculation with GGA-PBE was carried out for a geometry-optimized Tb2Gd2O5 structure. Values from VASP.

The structure in Quantum ESPRESSO input format:
```
&SYSTEM
  ibrav = 0, nat = 9, ntyp = 3
/
ATOMIC_SPECIES
Tb 158.93 Tb.upf
O 16.00 O.upf
Gd 157.25 Gd.upf
ATOMIC_POSITIONS angstrom
Tb -0.705 -3.248 3.357
Tb 0.000 0.000 0.000
O 0.652 -5.346 6.349
O 1.656 -0.718 1.564
O 0.363 -2.344 -0.281
O 1.720 -4.442 2.711
O -0.641 -6.973 4.504
Gd 1.358 -6.111 4.436
Gd 2.082 -2.774 0.986
CELL_PARAMETERS angstrom
-1.409 -6.496 6.715
1.131 -2.821 -2.492
3.718 0.432 1.199
```

Results
SG = P4/mmm, No. 123

Which is most stable? The ranking, best first, is entry i, entry ii.

Entry i
A plane-wave DFT calculation with GGA-PBE was carried out for a geometry-optimized Pr3Gd3Te2Os structure. Values from VASP.

The structure in Quantum ESPRESSO input format:
```
&SYSTEM
  ibrav = 0, nat = 9, ntyp = 4
/
ATOMIC_SPECIES
Pr 140.91 Pr.upf
Gd 157.25 Gd.upf
Te 127.60 Te.upf
Os 190.23 Os.upf
ATOMIC_POSITIONS angstrom
Pr -0.127 -3.192 1.231
Pr -2.601 2.154 0.558
Pr -4.076 -1.550 2.672
Gd -0.701 0.026 2.786
Gd -4.065 4.744 2.802
Gd 0.656 -5.456 4.085
Te -1.476 -2.882 4.248
Te -3.532 1.563 3.688
Os 0.000 0.000 0.000
CELL_PARAMETERS angstrom
-6.487 5.373 1.392
-0.317 -7.961 3.069
1.796 1.268 3.475
```

Results
SG = P-62m, No. 189

Entry ii
A plane-wave DFT calculation with GGA-PBE was carried out for a geometry-optimized Pr3Gd3Te2Os structure. Values from VASP.

The structure in Quantum ESPRESSO input format:
```
&SYSTEM
  ibrav = 0, nat = 9, ntyp = 4
/
ATOMIC_SPECIES
Pr 140.91 Pr.upf
Gd 157.25 Gd.upf
Te 127.60 Te.upf
Os 190.23 Os.upf
ATOMIC_POSITIONS angstrom
Pr -3.247 5.624 2.011
Pr 6.494 0.000 2.011
Pr 1.049 1.817 2.011
Gd -1.725 2.988 0.000
Gd 3.450 0.000 0.000
Gd 2.571 4.453 0.000
Te 0.000 4.961 2.011
Te 4.296 2.480 2.011
Os 0.000 0.000 0.000
CELL_PARAMETERS angstrom
8.592 0.000 0.000
-4.296 7.441 0.000
0.000 0.000 4.022
```

Results
SG = P-62m, No. 189

Which is most stable? The ranking, best first, is entry i, entry ii.

Entry i
A plane-wave DFT calculation with GGA-PBE was carried out for a geometry-optimized Gd3Sc3Te2Os structure. Values from VASP.

The structure in Quantum ESPRESSO input format:
```
&SYSTEM
  ibrav = 0, nat = 9, ntyp = 4
/
ATOMIC_SPECIES
Sc 44.96 Sc.upf
Gd 157.25 Gd.upf
Te 127.60 Te.upf
Os 190.23 Os.upf
ATOMIC_POSITIONS angstrom
Sc 1.584 2.744 1.951
Sc 4.990 0.000 1.951
Sc -2.495 4.322 1.951
Gd -1.012 1.754 0.000
Gd 3.067 5.312 0.000
Gd 2.025 0.000 0.000
Te 0.000 4.711 0.000
Te 4.079 2.355 0.000
Os 0.000 0.000 1.951
CELL_PARAMETERS angstrom
8.159 0.000 0.000
-4.079 7.066 0.000
0.000 0.000 3.902
```

Results
SG = P-62m, No. 189

Entry ii
A plane-wave DFT calculation with GGA-PBE was carried out for a geometry-optimized Gd3Sc3Te2Os structure. Values from VASP.

The structure in Quantum ESPRESSO input format:
```
&SYSTEM
  ibrav = 0, nat = 9, ntyp = 4
/
ATOMIC_SPECIES
Gd 157.25 Gd.upf
Os 190.23 Os.upf
Sc 44.96 Sc.upf
Te 127.60 Te.upf
ATOMIC_POSITIONS angstrom
Gd -0.661 -4.497 2.633
Gd -0.338 3.846 3.561
Gd -1.027 -0.356 3.557
Os 1.325 -0.218 1.503
Sc -0.753 -1.622 0.428
Sc -0.631 1.541 0.780
Sc -4.618 -0.270 4.032
Te -2.912 2.111 2.875
Te -3.089 -2.462 2.366
CELL_PARAMETERS angstrom
-2.735 6.684 3.383
-3.266 -7.035 1.858
2.651 -0.437 3.006
```

Results
SG = P-62m, No. 189

Which is most stable? The ranking, best first, is entry ii, entry i.

Entry i
A plane-wave DFT calculation with GGA-PBE was carried out for a geometry-optimized Gd2P structure. Values from VASP.

The structure in Quantum ESPRESSO input format:
```
&SYSTEM
  ibrav = 0, nat = 6, ntyp = 2
/
ATOMIC_SPECIES
P 30.97 P.upf
Gd 157.25 Gd.upf
ATOMIC_POSITIONS angstrom
P 2.498 1.492 2.247
P 0.000 0.000 0.000
Gd 5.583 1.334 3.936
Gd 4.757 4.075 3.034
Gd 3.402 2.798 5.389
Gd 6.246 3.730 5.618
CELL_PARAMETERS angstrom
5.689 1.865 0.458
1.327 4.794 3.363
2.978 -0.689 5.167
```

Results
SG = Fd-3m, No. 227

Entry ii
A plane-wave DFT calculation with GGA-PBE was carried out for a geometry-optimized Gd2P structure. Values from VASP.

The structure in Quantum ESPRESSO input format:
```
&SYSTEM
  ibrav = 0, nat = 3, ntyp = 2
/
ATOMIC_SPECIES
Gd 157.25 Gd.upf
P 30.97 P.upf
ATOMIC_POSITIONS angstrom
Gd -8.103 -2.946 -1.248
Gd -2.701 -0.982 -0.416
P 0.000 0.000 0.000
CELL_PARAMETERS angstrom
-3.190 -3.242 1.340
-4.601 1.132 0.176
-3.012 -1.818 -3.179
```

Results
SG = Fm-3m, No. 225

Which is most stable? The ranking, best first, is entry ii, entry i.